Entry 1:
This record from Alexandria via LeMat-Bulk describes a geometry-optimized Pm5Sm2Dy structure. The functional is GGA-PBE.

```
Pm5Sm2Dy
1.0
9.302 0.000 -3.979
-0.970 6.166 -2.267
-0.931 -1.701 10.684
Sm Pm Dy
4 10 2
Cartesian
4.425 4.571 4.099 Sm
2.975 -0.106 0.338 Sm
0.394 1.488 7.165 Sm
7.006 2.977 -2.727 Sm
5.944 -0.274 3.231 Pm
7.048 2.809 1.418 Pm
8.010 4.625 -5.439 Pm
3.985 3.009 -1.162 Pm
1.206 4.539 5.203 Pm
0.352 1.656 3.020 Pm
6.194 -0.074 -0.765 Pm
3.415 1.456 5.599 Pm
1.456 4.739 1.207 Pm
0.321 1.542 -0.808 Pm
3.700 2.233 2.219 Dy
-0.466 -0.851 5.342 Dy
```

Computed properties:
**E_tot**: -4.57 eV per atom
**Formation energy**: 150 meV/atom
**N(E_F)**: 1.633 states/eV per atom
**Distance to the lowest polymorph of the same formula**: 0.1348 eV/atom

Entry 2:
This record from Alexandria via LeMat-Bulk describes a geometry-optimized Pm2SmDy12 structure. The functional is GGA-PBE.

```
Pm2SmDy12
1.0
6.460 1.472 -0.387
1.472 6.460 0.387
-1.866 1.866 24.848
Dy Sm Pm
24 2 4
Cartesian
0.235 7.700 17.010 Dy
4.106 3.827 1.798 Dy
1.535 2.431 10.583 Dy
1.110 2.856 21.340 Dy
0.478 7.453 20.164 Dy
4.956 6.942 3.506 Dy
2.727 5.203 16.623 Dy
5.498 6.401 10.573 Dy
0.990 2.976 3.508 Dy
3.762 4.166 13.659 Dy
5.587 2.345 4.684 Dy
0.564 3.402 14.265 Dy
3.093 4.840 5.071 Dy
2.299 5.628 11.189 Dy
2.973 4.960 19.777 Dy
3.336 4.593 8.225 Dy
1.961 5.972 23.050 Dy
1.273 6.664 14.046 Dy
4.455 3.477 22.663 Dy
4.798 3.139 10.802 Dy
5.834 2.102 7.837 Dy
1.611 6.321 2.185 Dy
5.076 6.822 21.341 Dy
4.534 7.364 14.274 Dy
0.736 3.230 0.194 Sm
1.364 2.602 24.653 Sm
3.575 8.323 18.225 Pm
6.457 5.442 6.622 Pm
2.493 1.473 6.621 Pm
-0.393 4.359 18.227 Pm
```

Computed properties:
**E_tot**: -4.52 eV per atom
**Formation energy**: 110 meV/atom
**N(E_F)**: 1.489 states/eV per atom

Entry 3:
This record from Alexandria via LeMat-Bulk describes a geometry-optimized Pm12Sm2Dy5 structure. The functional is GGA-PBE.

```
Pm12Sm2Dy5
1.0
-6.169 5.920 8.024
2.557 -10.362 1.044
5.237 2.685 2.046
Pm Dy Sm
12 5 2
Cartesian
5.093 0.867 3.276 Pm
0.055 -3.357 6.799 Pm
-1.510 4.558 8.323 Pm
2.376 -0.886 6.632 Pm
-1.708 2.870 5.137 Pm
-3.740 1.998 8.371 Pm
-3.467 -2.624 7.838 Pm
5.366 -3.755 2.743 Pm
3.334 -4.627 5.977 Pm
3.136 -6.315 2.791 Pm
-0.750 -0.872 4.482 Pm
1.571 1.600 4.315 Pm
-1.026 -0.057 7.821 Dy
2.652 -1.700 3.293 Dy
1.227 2.645 7.559 Dy
2.619 1.342 1.023 Dy
0.399 -4.402 3.555 Dy
-1.398 1.342 1.819 Sm
-4.771 4.578 6.205 Sm
```

Computed properties:
**E_tot**: -4.61 eV per atom
**Formation energy**: 99 meV/atom
**N(E_F)**: 1.420 states/eV per atom
**Distance to the lowest polymorph of the same formula**: 0.0000 eV/atom

Entry 4:
This record from Alexandria via LeMat-Bulk describes a geometry-optimized PmSm5Dy structure. The functional is GGA-PBE.

```
PmSm5Dy
1.0
-0.088 -2.239 -5.827
7.766 -1.869 0.601
-5.277 -3.258 4.676
Sm Pm Dy
5 1 1
Cartesian
3.868 -1.310 -0.677 Sm
-0.719 -2.533 1.416 Sm
3.131 -4.544 -1.213 Sm
6.333 -2.501 -2.026 Sm
1.357 -1.304 -2.411 Sm
-0.082 -2.084 -5.424 Pm
3.822 -2.494 -3.759 Dy
```

Computed properties:
**E_tot**: -3.83 eV per atom
**Formation energy**: 880 meV/atom
**N(E_F)**: 1.313 states/eV per atom
**Distance to the lowest polymorph of the same formula**: 0.7092 eV/atom

Entry 5:
This record from Alexandria via LeMat-Bulk describes a geometry-optimized PmSm3Dy12 structure. The functional is GGA-PBE.

```
PmSm3Dy12
1.0
5.040 0.000 0.000
0.000 5.040 0.000
0.000 0.000 20.161
Sm Dy Pm
3 12 1
Cartesian
0.000 0.000 5.045 Sm
0.000 0.000 15.116 Sm
0.000 0.000 10.081 Sm
0.000 2.520 12.597 Dy
2.520 2.520 0.000 Dy
2.520 0.000 12.597 Dy
0.000 2.520 7.564 Dy
2.520 0.000 17.633 Dy
2.520 2.520 15.114 Dy
0.000 2.520 2.528 Dy
2.520 2.520 5.047 Dy
2.520 2.520 10.081 Dy
2.520 0.000 2.528 Dy
0.000 2.520 17.633 Dy
2.520 0.000 7.564 Dy
0.000 0.000 0.000 Pm
```

Computed properties:
**E_tot**: -4.62 eV per atom
**Formation energy**: 18 meV/atom
**N(E_F)**: 1.349 states/eV per atom

Entry 6:
This record from Alexandria via LeMat-Bulk describes a geometry-optimized Pm5Sm12Dy structure. The functional is GGA-PBE.

```
Pm5Sm12Dy
1.0
-2.359 -9.931 -6.290
6.918 -4.885 -6.308
1.788 -3.272 4.493
Pm Sm Dy
5 12 1
Cartesian
0.729 -11.545 -4.900 Pm
-0.285 -6.601 -0.899 Pm
5.619 -6.543 -3.205 Pm
3.521 -9.872 -8.587 Pm
1.039 -4.943 -4.011 Pm
4.070 -9.993 -5.129 Sm
2.981 -5.050 -1.098 Sm
0.915 -8.399 -6.449 Sm
3.367 -13.037 -7.007 Sm
5.433 -9.688 -1.656 Sm
-1.036 -9.508 -2.894 Sm
0.465 -3.694 1.097 Sm
4.378 -3.411 -4.197 Sm
-0.660 -3.035 -1.766 Sm
2.277 -8.095 -2.976 Sm
1.970 -14.677 -3.909 Sm
0.089 -10.167 -0.031 Sm
0.000 0.000 0.000 Dy
```

Computed properties:
**E_tot**: -4.64 eV per atom
**Formation energy**: 84 meV/atom
**N(E_F)**: 1.527 states/eV per atom

Entry 7:
This record from Alexandria via LeMat-Bulk describes a geometry-optimized Pm2Sm8Dy structure. The functional is GGA-PBE.

```
Pm2Sm8Dy
1.0
6.368 1.800 1.365
2.183 9.628 3.047
2.183 5.527 8.452
Sm Pm Dy
8 2 1
Cartesian
6.709 6.663 7.078 Sm
4.423 11.773 8.933 Sm
7.228 10.256 7.782 Sm
3.506 6.699 5.083 Sm
6.709 8.611 4.511 Sm
6.311 5.181 3.931 Sm
4.025 10.292 5.786 Sm
4.025 8.344 8.353 Sm
3.457 3.733 2.833 Pm
7.277 13.221 10.032 Pm
0.000 0.000 0.000 Dy
```

Computed properties:
**E_tot**: -4.56 eV per atom
**Formation energy**: 158 meV/atom
**N(E_F)**: 1.586 states/eV per atom
**Distance to the lowest polymorph of the same formula**: 0.1431 eV/atom

Entry 8:
This record from Alexandria via LeMat-Bulk describes a geometry-optimized PmSm2Dy2 structure. The functional is GGA-PBE.

```
PmSm2Dy2
1.0
6.102 0.668 -1.415
-1.930 5.745 -1.721
-0.140 -0.649 9.387
Dy Pm Sm
4 2 4
Cartesian
-0.906 3.748 7.632 Dy
3.454 3.873 2.789 Dy
0.578 1.891 3.462 Dy
4.938 2.016 -1.382 Dy
2.415 5.781 -0.287 Pm
1.617 -0.017 6.538 Pm
4.287 1.295 4.661 Sm
1.980 2.320 0.169 Sm
-0.255 4.469 1.590 Sm
2.053 3.444 6.082 Sm
```

Computed properties:
**E_tot**: -4.55 eV per atom
**Formation energy**: 127 meV/atom
**N(E_F)**: 1.388 states/eV per atom
**Distance to the lowest polymorph of the same formula**: 0.0000 eV/atom